Te2BrN2 | PBE | optimized geometry

abc: 6.2658 6.2658 3.5801
angles: 90.00 90.00 90.00
Space group P4/mmm (No. 123)
Symmetry-distinct sites (fractional):
1 Te 0.0000 0.5000 0.0000 (multiplicity 2)
2 Br 0.0000 0.0000 0.0000 (multiplicity 1)
3 N 0.0000 0.0000 0.5000 (multiplicity 1)
4 N 0.5000 0.5000 0.5000 (multiplicity 1)

* VASP energy: -12.71 eV per cell
* offset from the most stable computed form: 1768.7 meV per atom

=====

TeBr2N | PBE | optimized geometry

abc: 4.5842 7.2192 9.8335
angles: 77.38 78.66 76.17
Space group P-1 (No. 2)
Symmetry-distinct sites (fractional):
1 Te 0.0695 0.2838 0.0462 (multiplicity 2)
2 Br 0.2335 0.7889 0.1414 (multiplicity 2)
3 Br 0.3904 0.2792 0.2428 (multiplicity 2)
4 N 0.3612 0.2449 0.5896 (multiplicity 2)

* VASP energy: -20.36 eV per cell
* offset from the most stable computed form: 12.6 meV per atom

=====

Te2BrN2 | PBE | optimized geometry

abc: 9.4249 3.8550 7.9419
angles: 90.00 124.79 90.00
Space group C2/m (No. 12)
Symmetry-distinct sites (fractional):
1 Te 0.2085 0.0000 0.1355 (multiplicity 4)
2 Br 0.0000 0.0000 0.5000 (multiplicity 2)
3 N 0.1517 0.5000 0.9869 (multiplicity 4)

* VASP energy: -43.11 eV per cell
* offset from the most stable computed form: 0.0 meV per atom

=====

TeBr2N | PBE | optimized geometry

abc: 3.6940 3.6940 26.6284
angles: 90.00 90.00 120.00
Space group R-3m (No. 166, hexagonal axes)
Symmetry-distinct sites (fractional):
1 Te 0.0000 0.0000 0.0000 (multiplicity 3)
2 Br 0.0000 0.0000 0.4246 (multiplicity 6)
3 N 0.0000 0.0000 0.5000 (multiplicity 3)

* VASP energy: -29.28 eV per cell
* offset from the most stable computed form: 117.4 meV per atom

=====

Calculated values (eV/atom) of formation energy from raw total energies for the records, taken in order: 2.379; 1.158; 0.610; 1.263.
Calculated values (states/eV/atom) of DOS(E_F) for the records, taken in order: 0.967; 0.442; 0.433; 0.772.